[1]
## K2LiReF6 (PBE)

Data for a geometry-optimized K2LiReF6 structure.

Results
Total energy (eV/atom): -5.09
ρ (g/cm3): 5.1
M_tot (μB per formula unit): 2.00

Cell: 5.589 5.589 8.048 Å, 90.00 90.00 90.00°
Space group I4/m (No. 87)
Asymmetric unit:
K1 0.000 0.500 0.250 x4
Li1 0.000 0.000 0.000 x2
Re1 0.000 0.000 0.500 x2
F1 0.000 0.000 0.244 x4
F2 0.233 0.257 0.000 x8


[2]
## DyHo2Mg3Al2Zn (PBE)

Data for a geometry-optimized DyHo2Mg3Al2Zn structure.

Results
Total energy (eV/atom): -3.33
ρ (g/cm3): 5.5
M_tot (μB per formula unit): 0.00

Cell: 4.456 12.725 7.331 Å, 90.00 90.00 90.00°
Space group Amm2 (No. 38)
Asymmetric unit:
Dy1 0.000 0.000 0.000 x2
Ho1 0.000 0.210 0.370 x4
Mg1 0.500 0.000 0.338 x2
Mg2 0.500 0.121 0.700 x4
Al1 0.500 0.167 0.080 x4
Zn1 0.000 0.000 0.579 x2


[3]
## NaScSiNi (PBE)

Data for a geometry-optimized NaScSiNi structure.

Results
ρ (g/cm3): 3.8
Distance to the lowest polymorph of the same formula (kJ/mol of formula units): 64
M_tot (μB per formula unit): 0.01

Cell: 6.463 6.463 6.463 Å, 90.00 90.00 90.00°
Space group F-43m (No. 216)
Asymmetric unit:
Na1 0.000 0.000 0.000 x4
Sc1 0.000 0.000 0.500 x4
Si1 0.250 0.250 0.250 x4
Ni1 0.250 0.250 0.750 x4


[4]
## PrCuSnTe3 (PBE)

Data for a geometry-optimized PrCuSnTe3 structure.

Results
ρ (g/cm3): 6.4
Distance to the lowest polymorph of the same formula (kJ/mol of formula units): 1
M_tot (μB per formula unit): 0.00

Cell: 4.316 14.572 11.588 Å, 90.00 90.00 90.00°
Space group Cmcm (No. 63)
Asymmetric unit:
Pr1 0.000 0.000 0.000 x4
Cu1 0.000 0.471 0.250 x4
Sn1 0.000 0.235 0.750 x4
Te1 0.000 0.086 0.250 x4
Te2 0.000 0.351 0.076 x8


[5]
## Gd2YCd3CuAu2 (PBE)

Data for a geometry-optimized Gd2YCd3CuAu2 structure.

Results
ρ (g/cm3): 9.9
M_tot (μB per formula unit): 0.01
Formation enthalpy at 0 K (eV per atom): -0.58

Cell: 3.877 13.423 7.752 Å, 90.00 90.00 90.00°
Space group Amm2 (No. 38)
Asymmetric unit:
Gd1 0.000 0.203 0.000 x4
Y1 0.000 0.000 0.608 x2
Cd1 0.500 0.000 0.956 x2
Cd2 0.500 0.122 0.326 x4
Cu1 0.000 0.000 0.203 x2
Au1 0.500 0.166 0.702 x4


[6]
## CuAgAsAu (PBE)

Data for a geometry-optimized CuAgAsAu structure.

Results
ρ (g/cm3): 10.7
Distance to the lowest polymorph of the same formula (kJ/mol of formula units): 0

Cell: 6.497 6.497 6.497 Å, 90.00 90.00 90.00°
Space group F-43m (No. 216)
Asymmetric unit:
Cu1 0.000 0.000 0.000 x4
Ag1 0.250 0.250 0.250 x4
As1 0.250 0.250 0.750 x4
Au1 0.000 0.000 0.500 x4